A | Material: LiMg6Zn2
Method: DFT, PBE
State: optimized geometry

* magnetic moment: 0.000 μB/f.u.

POSCAR file:
```
LiMg6Zn2
1.0
6.9723 0.0000 0.0000
0.0000 6.9723 0.0000
0.0000 0.0000 9.2280
Mg Li Zn
12 2 4
direct
0.7011 0.7011 0.5000 Mg
0.2011 0.7989 0.0000 Mg
0.2426 0.7574 0.6657 Mg
0.7574 0.2426 0.3343 Mg
0.2426 0.7574 0.3343 Mg
0.2989 0.2989 0.5000 Mg
0.7989 0.2011 0.0000 Mg
0.7426 0.7426 0.8343 Mg
0.2574 0.2574 0.1657 Mg
0.2574 0.2574 0.8343 Mg
0.7426 0.7426 0.1657 Mg
0.7574 0.2426 0.6657 Mg
0.0000 0.0000 0.5000 Li
0.5000 0.5000 0.0000 Li
0.5000 0.5000 0.7145 Zn
0.0000 0.0000 0.7855 Zn
0.0000 0.0000 0.2145 Zn
0.5000 0.5000 0.2855 Zn
```



B | Material: LiMg6Zn2
Method: DFT, PBE
State: optimized geometry

* magnetic moment: 0.000 μB/f.u.

POSCAR file:
```
LiMg6Zn2
1.0
-1.7752 -4.2064 1.5912
2.7269 2.7298 2.9129
-7.2179 4.1357 2.8803
Mg Li Zn
6 1 2
direct
0.0000 0.9999 0.1785 Mg
0.0000 0.0001 0.8215 Mg
0.6667 0.3333 0.9591 Mg
0.3333 0.6667 0.0409 Mg
0.6667 0.3334 0.6091 Mg
0.3333 0.6666 0.3909 Mg
0.0000 0.0000 0.5000 Li
0.3334 0.6668 0.7153 Zn
0.6666 0.3332 0.2847 Zn
```



B comes first in stability; the runner-up is 23.0 kJ/mol of atoms higher.



A | Material: Li8Mg2Zn3
Method: DFT, PBE
State: optimized geometry

* magnetic moment: 0.000 μB/f.u.

POSCAR file:
```
Li8Mg2Zn3
1.0
5.4705 0.0000 0.1085
0.0000 7.0462 0.0000
-2.0432 -3.5231 6.3260
Zn Li Mg
3 8 2
direct
0.0000 0.1782 0.0000 Zn
0.5000 0.0000 0.0000 Zn
0.0000 0.8218 0.0000 Zn
0.3131 0.2005 0.7808 Li
0.7966 0.4009 0.8018 Li
0.9114 0.2071 0.4141 Li
0.2034 0.5991 0.1982 Li
0.6869 0.4197 0.2192 Li
0.6869 0.7995 0.2192 Li
0.3131 0.5803 0.7808 Li
0.0886 0.7929 0.5859 Li
0.6180 0.8110 0.6220 Mg
0.3820 0.1890 0.3780 Mg
```



B | Material: Li8Mg2Zn3
Method: DFT, PBE
State: optimized geometry

* magnetic moment: 0.000 μB/f.u.

POSCAR file:
```
Li8Mg2Zn3
1.0
-0.3871 -0.1845 2.9101
-7.3394 -5.7055 -3.0450
7.0343 -4.9079 0.4492
Li Mg Zn
8 2 3
direct
0.0693 0.0929 0.2851 Li
0.9307 0.9071 0.7149 Li
0.4497 0.8617 0.3692 Li
0.7056 0.4172 0.8623 Li
0.2944 0.5828 0.1377 Li
0.5503 0.1383 0.6308 Li
0.6746 0.3326 0.2016 Li
0.3254 0.6674 0.7984 Li
0.8215 0.6267 0.4624 Mg
0.1785 0.3733 0.5376 Mg
0.0952 0.2041 0.9252 Zn
0.5000 0.0000 0.0000 Zn
0.9048 0.7959 0.0748 Zn
```



B comes first in stability; the runner-up is 8.4 kJ/mol of atoms higher.



A | Material: Li2Mg8Zn
Method: DFT, PBE
State: optimized geometry

* magnetic moment: 0.000 μB/f.u.

POSCAR file:
```
Li2Mg8Zn
1.0
-4.2321 -0.0862 2.7110
-3.0506 -5.0216 -4.9219
5.7844 -1.9920 4.3065
Mg Li Zn
8 2 1
direct
0.4058 0.5507 0.8115 Mg
0.0505 0.7244 0.1010 Mg
0.6776 0.9224 0.3551 Mg
0.1338 0.1832 0.2677 Mg
0.3224 0.0776 0.6449 Mg
0.5942 0.4493 0.1885 Mg
0.8662 0.8168 0.7323 Mg
0.9495 0.2756 0.8990 Mg
0.2277 0.6353 0.4555 Li
0.7723 0.3647 0.5445 Li
0.5000 0.0000 0.0000 Zn
```



B | Material: Li2Mg8Zn
Method: DFT, PBE
State: optimized geometry

* magnetic moment: 0.000 μB/f.u.

POSCAR file:
```
Li2Mg8Zn
1.0
-2.8920 -0.2572 3.7800
-4.6280 -0.8954 -3.6017
3.0079 -7.7604 -1.2319
Li Zn Mg
2 1 8
direct
0.8574 0.8276 0.7148 Li
0.1426 0.1724 0.2852 Li
0.5000 0.0000 0.0000 Zn
0.7790 0.3691 0.5581 Mg
0.2210 0.6309 0.4419 Mg
0.5910 0.4267 0.1820 Mg
0.6747 0.9182 0.3495 Mg
0.4090 0.5733 0.8180 Mg
0.9621 0.2514 0.9241 Mg
0.0379 0.7486 0.0759 Mg
0.3253 0.0818 0.6505 Mg
```



B comes first in stability; the runner-up is 1.0 kJ/mol of atoms higher.



A | Material: Li2MgZn2
Method: DFT, PBE
State: optimized geometry

* magnetic moment: 0.000 μB/f.u.

POSCAR file:
```
Li2MgZn2
1.0
4.3578 0.0000 1.3163
1.5449 4.2355 2.7573
-0.6998 2.5044 10.1887
Zn Li Mg
4 4 2
direct
0.3625 0.8245 0.9521 Zn
0.1391 0.6755 0.5479 Zn
0.6375 0.1755 0.0479 Zn
0.8609 0.3245 0.4521 Zn
0.0675 0.5060 0.8579 Li
0.9325 0.4940 0.1421 Li
0.4314 0.9940 0.6421 Li
0.5686 0.0060 0.3579 Li
0.2492 0.7500 0.2500 Mg
0.7508 0.2500 0.7500 Mg
```



B | Material: Li2MgZn2
Method: DFT, PBE
State: optimized geometry

* magnetic moment: 0.000 μB/f.u.

POSCAR file:
```
Li2MgZn2
1.0
3.7836 0.0000 0.0000
0.0000 3.7836 0.0000
1.8918 1.8918 6.3268
Mg Zn Li
1 2 2
direct
0.0000 0.0000 0.0000 Mg
0.4008 0.4008 0.1983 Zn
0.5992 0.5992 0.8017 Zn
0.2500 0.7500 0.5000 Li
0.7500 0.2500 0.5000 Li
```



C | Material: Li2MgZn2
Method: DFT, PBE
State: optimized geometry

* magnetic moment: 0.000 μB/f.u.

POSCAR file:
```
Li2MgZn2
1.0
-2.7666 0.3663 -0.4626
0.1625 -3.0369 -3.3770
-2.6660 -9.5033 8.4187
Zn Li Mg
4 4 2
direct
0.2500 0.2504 0.9602 Zn
0.2500 0.7505 0.6511 Zn
0.7500 0.2495 0.3489 Zn
0.7500 0.7496 0.0398 Zn
0.7500 0.7499 0.4630 Li
0.2500 0.7506 0.8564 Li
0.7500 0.2494 0.1436 Li
0.2500 0.2501 0.5370 Li
0.2500 0.7491 0.2509 Mg
0.7500 0.2509 0.7491 Mg
```



D | Material: Li2MgZn2
Method: DFT, PBE
State: optimized geometry

* magnetic moment: 0.000 μB/f.u.

POSCAR file:
```
Li2MgZn2
1.0
-2.2162 1.9057 -6.8957
-6.5297 -3.4884 1.1345
-1.1687 2.5378 1.0769
Zn Li Mg
4 4 2
direct
0.6256 0.1256 0.0000 Zn
0.8744 0.6256 0.0000 Zn
0.1256 0.3744 0.0000 Zn
0.3744 0.8744 0.0000 Zn
0.8309 0.3309 0.5000 Li
0.6691 0.8309 0.5000 Li
0.1691 0.6691 0.5000 Li
0.3309 0.1691 0.5000 Li
0.0000 0.0000 0.0000 Mg
0.5000 0.5000 0.0000 Mg
```



A comes first in stability; the runner-up is 2.4 kJ/mol of atoms higher.



A | Material: Li3Mg6Zn
Method: DFT, PBE
State: optimized geometry

* magnetic moment: 0.000 μB/f.u.

POSCAR file:
```
Li3Mg6Zn
1.0
-2.2216 6.5436 2.9403
2.9738 -2.0148 6.5952
6.5298 3.0830 -2.0629
Mg Li Zn
12 6 2
direct
0.4857 0.1617 0.6159 Mg
0.6245 0.8533 0.9513 Mg
0.8383 0.3841 0.5143 Mg
0.3841 0.5143 0.8383 Mg
0.8533 0.9513 0.6245 Mg
0.5143 0.8383 0.3841 Mg
0.1467 0.0487 0.3755 Mg
0.0487 0.3755 0.1467 Mg
0.1617 0.6159 0.4857 Mg
0.6159 0.4857 0.1617 Mg
0.9513 0.6245 0.8533 Mg
0.3755 0.1467 0.0487 Mg
0.2520 0.7455 0.1122 Li
0.8878 0.7480 0.2545 Li
0.7480 0.2545 0.8878 Li
0.2545 0.8878 0.7480 Li
0.1122 0.2520 0.7455 Li
0.7455 0.1122 0.2520 Li
0.5000 0.5000 0.5000 Zn
0.0000 0.0000 0.0000 Zn
```



B | Material: Li3Mg6Zn
Method: DFT, PBE
State: optimized geometry

* magnetic moment: 0.000 μB/f.u.

POSCAR file:
```
Li3Mg6Zn
1.0
-2.2977 1.7220 -3.8039
-7.4130 -2.0001 3.5724
4.7664 10.3252 1.7950
Li Mg Zn
6 12 2
direct
0.2500 0.5450 0.2008 Li
0.7500 0.8492 0.4016 Li
0.7500 0.4550 0.7992 Li
0.2500 0.7575 0.0045 Li
0.7500 0.2425 0.9955 Li
0.2500 0.1508 0.5984 Li
0.7500 0.4573 0.3136 Mg
0.7500 0.8417 0.8996 Mg
0.2500 0.5427 0.6864 Mg
0.7500 0.2691 0.5070 Mg
0.2500 0.7309 0.4930 Mg
0.7500 0.0627 0.6933 Mg
0.7500 0.0463 0.2032 Mg
0.7500 0.6376 0.0996 Mg
0.2500 0.9537 0.7968 Mg
0.2500 0.9373 0.3067 Mg
0.2500 0.1583 0.1004 Mg
0.2500 0.3624 0.9004 Mg
0.2500 0.3208 0.3851 Zn
0.7500 0.6792 0.6149 Zn
```



B comes first in stability; the runner-up is 4.7 kJ/mol of atoms higher.



A | Material: Li9MgZn2
Method: DFT, PBE
State: optimized geometry

* magnetic moment: 0.000 μB/f.u.

POSCAR file:
```
Li9MgZn2
1.0
4.1974 0.0000 0.0000
0.0000 4.1974 0.0000
0.0000 0.0000 12.0690
Zn Li Mg
2 9 1
direct
0.0000 0.0000 0.6569 Zn
0.0000 0.0000 0.3431 Zn
0.0000 0.5000 0.1847 Li
0.5000 0.0000 0.1847 Li
0.5000 0.5000 0.6567 Li
0.5000 0.0000 0.8153 Li
0.0000 0.5000 0.5000 Li
0.0000 0.5000 0.8153 Li
0.5000 0.5000 0.3433 Li
0.5000 0.5000 0.0000 Li
0.5000 0.0000 0.5000 Li
0.0000 0.0000 0.0000 Mg
```



B | Material: Li9MgZn2
Method: DFT, PBE
State: optimized geometry

* magnetic moment: 0.000 μB/f.u.

POSCAR file:
```
Li9MgZn2
1.0
-1.5541 2.2563 0.8804
-1.0234 -3.9786 8.3893
7.2623 5.6418 -1.6389
Li Zn Mg
9 2 1
direct
0.5000 0.1784 0.3567 Li
0.5000 0.3567 0.1784 Li
0.0000 0.5000 0.5000 Li
0.5000 0.6433 0.8216 Li
0.0000 0.5000 0.0000 Li
0.5000 0.8216 0.1784 Li
0.0000 0.0000 0.5000 Li
0.5000 0.8216 0.6433 Li
0.5000 0.1784 0.8216 Li
0.0000 0.6667 0.3333 Zn
0.0000 0.3333 0.6667 Zn
0.0000 0.0000 0.0000 Mg
```



A comes first in stability; the runner-up is 2.3 kJ/mol of atoms higher.



A | Material: Li2Mg6Zn
Method: DFT, PBE
State: optimized geometry

* magnetic moment: 0.000 μB/f.u.

POSCAR file:
```
Li2Mg6Zn
1.0
-2.8875 -0.0651 -1.1015
-1.7096 -6.5455 4.8688
-1.2528 7.7404 2.8264
Mg Zn Li
6 1 2
direct
0.0000 0.9998 0.2922 Mg
0.0000 0.7081 0.7081 Mg
0.5000 0.6351 0.9999 Mg
0.0000 0.2922 0.9998 Mg
0.5000 0.9999 0.6351 Mg
0.5000 0.3648 0.3648 Mg
0.5000 0.0004 0.0004 Zn
0.0000 0.6664 0.3333 Li
0.0000 0.3333 0.6664 Li
```



B | Material: Li2Mg6Zn
Method: DFT, PBE
State: optimized geometry

* magnetic moment: 0.000 μB/f.u.

POSCAR file:
```
Li2Mg6Zn
1.0
-2.2154 3.8632 0.8218
-1.1552 -2.0406 6.4785
7.6996 1.9524 -1.6757
Li Mg Zn
2 6 1
direct
0.6637 0.6619 0.3237 Li
0.3363 0.3381 0.6763 Li
0.8338 0.5963 0.6700 Mg
0.1662 0.9263 0.3300 Mg
0.5000 0.7652 0.0000 Mg
0.8338 0.0737 0.6700 Mg
0.1662 0.4037 0.3300 Mg
0.5000 0.2348 0.0000 Mg
0.0000 0.0000 0.0000 Zn
```



A comes first in stability; the runner-up is 20.6 kJ/mol of atoms higher.



A | Material: Li2Mg3Zn3
Method: DFT, PBE
State: optimized geometry

* magnetic moment: 0.000 μB/f.u.

POSCAR file:
```
Li2Mg3Zn3
1.0
-2.2422 1.2328 1.3957
-4.7454 -3.4911 -4.5398
2.1574 -3.2468 6.3340
Mg Zn Li
3 3 2
direct
0.0000 0.7483 0.7483 Mg
0.0000 0.2517 0.0000 Mg
0.0000 0.0000 0.2517 Mg
0.5000 0.6085 0.0000 Zn
0.5000 0.0000 0.6085 Zn
0.5000 0.3915 0.3915 Zn
0.0000 0.3333 0.6667 Li
0.0000 0.6667 0.3333 Li
```



B | Material: Li2Mg3Zn3
Method: DFT, PBE
State: optimized geometry

* magnetic moment: 0.000 μB/f.u.

POSCAR file:
```
Li2Mg3Zn3
1.0
4.4948 0.0000 -0.6165
0.0000 4.4496 0.0000
-1.3314 -2.2248 7.0438
Mg Zn Li
3 3 2
direct
0.0000 0.0000 0.0000 Mg
0.3671 0.8672 0.7343 Mg
0.6329 0.1328 0.2657 Mg
0.1341 0.6348 0.2697 Zn
0.8659 0.3652 0.7303 Zn
0.5000 0.5000 0.0000 Zn
0.2502 0.2497 0.4994 Li
0.7498 0.7503 0.5006 Li
```



A comes first in stability; the runner-up is 1.6 kJ/mol of atoms higher.



A | Material: Li7MgZn3
Method: DFT, PBE
State: optimized geometry

* magnetic moment: 0.000 μB/f.u.

POSCAR file:
```
Li7MgZn3
1.0
-4.4072 1.8566 -1.1265
1.8587 -4.5953 -4.7002
-0.6920 -5.0159 4.5853
Zn Li Mg
3 7 1
direct
0.5000 0.0000 0.0000 Zn
0.0000 0.2336 0.7664 Zn
0.0000 0.7664 0.2336 Zn
0.1589 0.1662 0.1662 Li
0.6781 0.3951 0.9600 Li
0.0000 0.5000 0.5000 Li
0.8411 0.8338 0.8338 Li
0.3219 0.0400 0.6049 Li
0.3219 0.6049 0.0400 Li
0.6781 0.9600 0.3951 Li
0.5000 0.5000 0.5000 Mg
```



B | Material: Li7MgZn3
Method: DFT, PBE
State: optimized geometry

* magnetic moment: 0.000 μB/f.u.

POSCAR file:
```
Li7MgZn3
1.0
-2.9043 0.6434 0.3628
1.4450 -5.8921 9.6386
2.7867 9.5299 5.4079
Li Zn Mg
14 6 2
direct
0.4943 0.9886 0.1184 Li
0.3301 0.6602 0.4166 Li
0.6699 0.3398 0.5834 Li
0.5057 0.0114 0.8816 Li
0.7965 0.5929 0.6136 Li
0.3301 0.6602 0.0834 Li
0.2035 0.4071 0.3864 Li
0.3939 0.7877 0.7500 Li
0.6699 0.3398 0.9166 Li
0.7965 0.5929 0.8864 Li
0.6061 0.2122 0.2500 Li
0.2035 0.4071 0.1136 Li
0.5057 0.0114 0.6184 Li
0.4943 0.9886 0.3816 Li
0.9150 0.8299 0.5247 Zn
0.0850 0.1701 0.0247 Zn
0.7757 0.5514 0.2500 Zn
0.9150 0.8299 0.9753 Zn
0.2243 0.4486 0.7500 Zn
0.0850 0.1701 0.4753 Zn
0.9023 0.8046 0.2500 Mg
0.0977 0.1954 0.7500 Mg
```



B comes first in stability; the runner-up is 9.0 kJ/mol of atoms higher.